Entry 1:
Here is InHgI2N after structural relaxation from Alexandria. Energies are from PBEsol.

total magnetization: 0.37 μB per atom
symmetry: No. 123

Lattice parameters (Å, degrees): 6.1107 6.1107 4.1255 90.00 90.00 90.00
Closest atoms and distances in Å follow each position.
Positions (direct):
In (0.0000, 0.0000, 0.0000)  8 I 3.69, 2 In 4.13
Hg (0.5000, 0.5000, 0.5000)  2 N 2.06
I (0.0000, 0.5000, 0.5000)  2 Hg 3.06
I (0.5000, 0.0000, 0.5000)  2 Hg 3.06
N (0.5000, 0.5000, 0.0000)  2 Hg 2.06

Entry 2:
Here is HgSb2IrI after structural relaxation from Alexandria. Energies are from PBEsol.

total magnetization: 0.00 μB per atom
symmetry: No. 123

Lattice parameters (Å, degrees): 5.0778 5.0778 5.6675 90.00 90.00 90.00
Closest atoms and distances in Å follow each position.
Positions (direct):
Hg (0.0000, 0.0000, 0.0000)  4 I 3.59, 8 Sb 3.80
Sb (0.0000, 0.5000, 0.5000)  2 Ir 2.54
Sb (0.5000, 0.0000, 0.5000)  2 Ir 2.54
Ir (0.5000, 0.5000, 0.5000)  4 Sb 2.54, 2 I 2.83
I (0.5000, 0.5000, 0.0000)  2 Ir 2.83

no.,ΔE_f (raw) (eV per atom)
1,0.60
2,0.43